[1]
Compound: TeAu2Se
Source: Alexandria via LeMat-Bulk
Functional: GGA-PBE
Structure: optimized geometry

Lattice parameters (Å, degrees): 3.9929 3.9929 19.6801 90.00 90.00 120.00
Space group R-3m (No. 166, hexagonal axes)
Unique sites:
Te 0.0000 0.0000 0.0000 [3 per cell]
Au 0.0000 0.0000 0.2469 [6 per cell]
Se 0.0000 0.0000 0.5000 [3 per cell]

Properties
As for the uncorrected formation energy: 0.0162 eV per atom. The value obtained for the relative energy among the computed polymorphs is 0.023 eV per atom. Its crystal system is trigonal. The density of states at the Fermi level is 9.3 states/eV per cell.


[2]
Compound: TeAu2Se
Source: Alexandria via LeMat-Bulk
Functional: GGA-PBE
Structure: optimized geometry

Lattice parameters (Å, degrees): 4.0213 4.0213 5.6240 90.00 90.00 90.00
Space group P4/mmm (No. 123)
Unique sites:
Te 0.0000 0.0000 0.0000 [1 per cell]
Au 0.0000 0.0000 0.5000 [1 per cell]
Au 0.5000 0.5000 0.0000 [1 per cell]
Se 0.5000 0.5000 0.5000 [1 per cell]

Properties
As for the uncorrected formation energy: 0.0286 eV per atom. The value obtained for the relative energy among the computed polymorphs is 0.035 eV per atom. Its crystal system is tetragonal. The density of states at the Fermi level is 1.5 states/eV per cell.


[3]
Compound: Te4AuSe
Source: Alexandria via LeMat-Bulk
Functional: GGA-PBE
Structure: optimized geometry

Lattice parameters (Å, degrees): 4.2532 4.2566 10.9909 88.52 88.33 61.63
Space group P-1 (No. 2)
Unique sites:
Te 0.1870 0.1870 0.3401 [2 per cell]
Te 0.3124 0.3122 0.8616 [2 per cell]
Au 0.0000 0.0000 0.0000 [1 per cell]
Se 0.5000 0.5000 0.5000 [1 per cell]

Properties
As for the uncorrected formation energy: 0.0678 eV per atom. The value obtained for the relative energy among the computed polymorphs is 0.000 eV per atom. Its crystal system is triclinic. The density of states at the Fermi level is 2.2 states/eV per cell.


[4]
Compound: Te2AuSe
Source: Alexandria via LeMat-Bulk
Functional: GGA-PBE
Structure: optimized geometry

Lattice parameters (Å, degrees): 5.9495 5.9495 14.8452 90.00 90.00 90.00
Space group I-42d (No. 122)
Unique sites:
Te 0.2397 0.2500 0.1250 [8 per cell]
Au 0.0000 0.0000 0.0000 [4 per cell]
Se 0.0000 0.0000 0.5000 [4 per cell]

Properties
As for the uncorrected formation energy: 0.1916 eV per atom. The value obtained for the relative energy among the computed polymorphs is 0.207 eV per atom. Its crystal system is tetragonal. The density of states at the Fermi level is 10.5 states/eV per cell.


[5]
Compound: Th4TeAuSe2
Source: Alexandria via LeMat-Bulk
Functional: GGA-PBE
Structure: optimized geometry

Lattice parameters (Å, degrees): 6.0950 6.0950 12.2168 90.00 90.00 90.00
Space group I-4m2 (No. 119)
Unique sites:
Th 0.0000 0.0000 0.2423 [4 per cell]
Th 0.0000 0.5000 0.5029 [4 per cell]
Te 0.0000 0.0000 0.5000 [2 per cell]
Au 0.0000 0.5000 0.2500 [2 per cell]
Se 0.0000 0.0000 0.0000 [2 per cell]
Se 0.0000 0.5000 0.7500 [2 per cell]

Properties
As for the uncorrected formation energy: -1.1747 eV per atom. Its crystal system is tetragonal. The density of states at the Fermi level is 10.5 states/eV per cell.


[6]
Compound: Th8Te4AuSe3
Source: Alexandria via LeMat-Bulk
Functional: GGA-PBE
Structure: optimized geometry

Lattice parameters (Å, degrees): 8.5500 8.5500 22.2798 90.00 90.00 120.00
Space group R-3m (No. 166, hexagonal axes)
Unique sites:
Th 0.0000 0.0000 0.2408 [6 per cell]
Th 0.0027 0.5014 0.7588 [18 per cell]
Te 0.0000 0.0000 0.0000 [3 per cell]
Te 0.0000 0.5000 0.0000 [9 per cell]
Au 0.0000 0.0000 0.5000 [3 per cell]
Se 0.0000 0.5000 0.5000 [9 per cell]

Properties
As for the uncorrected formation energy: -1.1906 eV per atom. Its crystal system is trigonal. The density of states at the Fermi level is 38.7 states/eV per cell.


[7]
Compound: TlTe2AuSe4
Source: Alexandria via LeMat-Bulk
Functional: GGA-PBE
Structure: optimized geometry

Lattice parameters (Å, degrees): 7.9367 7.9367 6.9092 90.00 90.00 90.00
Space group I-42m (No. 121)
Unique sites:
Tl 0.0000 0.0000 0.0000 [2 per cell]
Te 0.0000 0.5000 0.2500 [4 per cell]
Au 0.0000 0.0000 0.5000 [2 per cell]
Se 0.1864 0.1864 0.7365 [8 per cell]

Properties
As for the uncorrected formation energy: 0.0158 eV per atom. Its crystal system is tetragonal. The density of states at the Fermi level is 6.9 states/eV per cell.


[8]
Compound: TlTeAu2Se
Source: Alexandria via LeMat-Bulk
Functional: GGA-PBE
Structure: optimized geometry

Lattice parameters (Å, degrees): 4.1429 4.1429 15.3988 90.00 90.00 90.00
Space group I4mm (No. 107)
Unique sites:
Tl 0.0000 0.0000 0.0000 [2 per cell]
Te 0.0000 0.0000 0.6535 [2 per cell]
Au 0.0000 0.5000 0.2788 [4 per cell]
Se 0.0000 0.0000 0.4028 [2 per cell]

Properties
As for the uncorrected formation energy: -0.0357 eV per atom. Its crystal system is tetragonal. The density of states at the Fermi level is 5.8 states/eV per cell.


Q: Which value of density of states at the Fermi level does entry 5 give?
A: 10.5 states/eV per cell